Here is a geometry-optimized ZrMnCr2Mo structure from Alexandria. Energies are from PBE.

Unit cell a=4.163 b=4.774 c=4.163 alpha=90.00 beta=90.00 gamma=90.00
Fractional positions:
Cr 0.000 0.000 0.500
Cr 0.500 0.000 0.000
Mo 0.500 0.500 0.500
Mn 0.000 0.000 0.000
Zr 0.000 0.500 0.000

Values from the calculation:
**Size of the total moment**: 0.00 μB per atom
**Formation enthalpy at 0 K**: 1.03 eV per atom
**D(E_F)**: 7.62 states/eV/f.u.
**Theoretical density**: 6.95 g/cm3
**E_tot**: -8.52 eV/atom
**V**: 82.75 Å³ per cell


Here is a geometry-optimized Th6Tl2Pt structure from Alexandria. Energies are from PBE.

Unit cell a=3.803 b=9.002 c=9.003 alpha=120.00 beta=90.00 gamma=90.00
Fractional positions:
Th 0.500 0.597 0.000
Th 0.500 0.403 0.403
Th 0.500 0.000 0.597
Th 0.000 0.253 0.000
Th 0.000 0.747 0.747
Th 0.000 0.000 0.253
Tl 0.000 0.333 0.667
Tl 0.000 0.667 0.333
Pt 0.500 0.000 0.000

Values from the calculation:
**Size of the total moment**: 0.00 μB per atom
**Formation enthalpy at 0 K**: -0.34 eV per atom
**D(E_F)**: 12.05 states/eV/f.u.
**Theoretical density**: 12.42 g/cm3
**E_tot**: -6.48 eV/atom
**V**: 266.89 Å³ per cell


Here is a geometry-optimized TlSb2Se structure from Alexandria. Energies are from PBE.

Unit cell a=5.351 b=5.351 c=3.692 alpha=90.00 beta=90.00 gamma=90.04
Fractional positions:
Sb 0.000 0.000 0.000
Sb 0.500 0.500 0.000
Se 0.500 0.000 0.500
Tl 0.000 0.500 0.500

Values from the calculation:
**Distance to the lowest polymorph of the same formula**: 293 meV per atom
**Size of the total moment**: 0.00 μB per atom
**D(E_F)**: 1.79 states/eV/f.u.
**Theoretical density**: 8.28 g/cm3
**E_tot**: -3.34 eV/atom
**V**: 105.68 Å³ per cell
**Raw formation energy**: 0.19 eV/atom